{"formula": "SrCoRe2O8", "functional": "PBE with a Hubbard U", "state": "relaxed", "lattice": [[5.025, -0.686, 0.229], [1.709, 4.775, 0.229], [0.635, 0.386, 7.031]], "species": ["Sr", "Co", "Re", "Re", "O", "O", "O", "O", "O", "O", "O", "O"], "fractional_positions": [[0.000, 0.000, 0.500], [0.000, 0.000, 0.000], [0.576, 0.576, 0.255], [0.424, 0.424, 0.745], [0.766, 0.245, 0.779], [0.748, 0.748, 0.057], [0.667, 0.667, 0.479], [0.333, 0.333, 0.521], [0.252, 0.252, 0.943], [0.245, 0.766, 0.779], [0.755, 0.234, 0.221], [0.234, 0.755, 0.221]], "magmom_total_mub_per_fu": 0.992, "total_energy_ev_per_atom": -7.620, "density_g_cm3": 6.11}